NiPPd3, PBEsol geometry, DFT meta-GGA SCAN; total magnetization = 1.12 μB per formula unit; electronic total energy = -24.73 eV/atom; space group = Pm-3m, No. 221; density of states at the Fermi level = 7.5 states/eV/cell
1.0
-3.839 -0.371 2.040
1.288 -3.790 1.735
1.625 2.129 3.444
Pd Ni P
3 1 1
Cartesian
-1.919 -0.185 1.020
0.644 -1.895 0.867
0.812 1.064 1.722
-0.463 -1.016 3.609
0.000 0.000 0.000

Y2Al, PBEsol geometry, DFT meta-GGA SCAN; total magnetization = 0.11 μB per formula unit; electronic total energy = -21.49 eV/atom; space group = Pnma, No. 62; density of states at the Fermi level = 9.2 states/eV/cell
1.0
5.058 0.000 0.000
0.000 6.484 0.000
0.000 0.000 9.362
Y Al
8 4
Cartesian
3.793 0.174 2.723
3.793 3.416 1.959
1.264 5.264 0.688
1.264 3.068 7.404
3.793 1.220 8.675
3.793 4.461 5.369
1.264 6.309 6.640
1.264 2.022 3.993
3.793 4.593 8.400
1.264 1.891 0.962
1.264 5.132 3.719
3.793 1.351 5.643

RbYCdPd2, PBEsol geometry, DFT meta-GGA SCAN; total magnetization = 0.00 μB per formula unit; electronic total energy = -28.45 eV/atom; space group = P4/mmm, No. 123; density of states at the Fermi level = 3.7 states/eV/cell
1.0
5.159 0.000 0.000
0.000 5.159 0.000
0.000 0.000 5.309
Rb Pd Y Cd
1 2 1 1
Cartesian
2.579 2.579 2.655
0.000 2.579 0.000
2.579 0.000 0.000
0.000 0.000 2.655
0.000 0.000 0.000

Li5Cu, PBEsol geometry, DFT meta-GGA SCAN; excess energy over the best structure of this formula in the dataset = 0.039 eV per formula unit; total magnetization = 0.02 μB per formula unit; space group = Cm, No. 8; density of states at the Fermi level = 2.2 states/eV/cell
1.0
2.904 0.000 0.000
-1.452 5.270 -0.153
0.000 -2.145 6.562
Cu Li
1 5
Cartesian
0.000 0.132 0.124
1.452 1.196 2.168
0.000 3.736 1.286
0.000 2.095 4.727
1.452 -0.015 6.069
0.000 -0.925 3.862

SiH3Au, PBEsol geometry, DFT meta-GGA SCAN; total magnetization = 0.00 μB per formula unit; electronic total energy = -17.10 eV/atom; space group = Pm-3m, No. 221; density of states at the Fermi level = 1.3 states/eV/cell
1.0
3.688 0.000 0.000
0.000 3.688 0.000
0.000 0.000 3.688
H Si Au
3 1 1
Cartesian
1.844 0.000 0.000
0.000 1.844 0.000
0.000 0.000 1.844
1.844 1.844 1.844
0.000 0.000 0.000

NaSr3Sb, PBEsol geometry, DFT meta-GGA SCAN; total magnetization = 0.00 μB per formula unit; space group = Pm-3m, No. 221; E_form (uncorrected) = 0.2726 eV/atom; density of states at the Fermi level = 4.9 states/eV/cell
1.0
6.026 0.000 0.000
0.000 6.026 0.000
0.000 0.000 6.026
Na Sr Sb
1 3 1
Cartesian
0.000 0.000 0.000
0.000 3.013 0.000
3.013 0.000 0.000
0.000 0.000 3.013
3.013 3.013 3.013

NbInP2O, PBEsol geometry, DFT meta-GGA SCAN; total magnetization = 3.32 μB per formula unit; space group = P4/mmm, No. 123; E_form (uncorrected) = 1.8096 eV/atom; density of states at the Fermi level = 3.2 states/eV/cell
1.0
-0.934 4.525 -0.992
-4.359 -1.201 -1.373
-1.807 0.742 5.087
P Nb In O
2 1 1 1
Cartesian
-0.467 2.262 -0.496
-2.180 -0.600 -0.687
-0.903 0.371 2.543
0.000 0.000 0.000
-3.550 2.033 1.361

SrTiTc3, PBEsol geometry, DFT meta-GGA SCAN; total magnetization = 0.00 μB per formula unit; electronic total energy = -25.85 eV/atom; space group = Pm-3m, No. 221; density of states at the Fermi level = 7.3 states/eV/cell
1.0
4.603 0.000 0.000
0.000 4.603 0.000
0.000 0.000 4.603
Tc Sr Ti
3 1 1
Cartesian
0.000 2.301 0.000
2.301 0.000 0.000
0.000 0.000 2.301
0.000 0.000 0.000
2.301 2.301 2.301